[1]
Density functional theory data (PBE-GGA) for crystalline La3RuPb at its relaxed geometry.

a b c (Å): 6.261 6.823 7.227
angles (deg): 75.85 83.61 89.29
Fractional positions:
La 0.156 0.166 0.055
La 0.276 0.152 0.544
La 0.312 0.633 0.193
La 0.688 0.367 0.807
La 0.724 0.848 0.456
La 0.844 0.834 0.945
Ru 0.435 0.916 0.837
Ru 0.565 0.084 0.163
Pb 0.219 0.615 0.688
Pb 0.781 0.385 0.312

Computed properties:
DFT formation energy in meV per atom: -420
Crystal system: triclinic
E above lowest polymorph in eV/atom: 0.026
Magnetic moment in Bohr magnetons per cell: 0.00
Total DFT energy (no corrections) in eV per atom: -5.973

[2]
Density functional theory data (PBE-GGA) for crystalline La2RuPb at its relaxed geometry.

a b c (Å): 3.546 3.518 8.780
angles (deg): 90.00 90.13 90.00
Fractional positions:
La 0.002 0.000 0.299
La 0.998 0.000 0.701
Ru 0.500 0.500 0.500
Pb 0.500 0.500 0.000

Computed properties:
DFT formation energy in meV per atom: -378
Crystal system: monoclinic
Magnetic moment in Bohr magnetons per cell: 0.00
Total DFT energy (no corrections) in eV per atom: -6.088

[3]
Density functional theory data (PBE-GGA) for crystalline La3RuPb at its relaxed geometry.

a b c (Å): 6.752 6.752 9.879
angles (deg): 109.71 109.71 48.09
Fractional positions:
La 0.122 0.122 0.239
La 0.131 0.131 0.652
La 0.370 0.370 0.065
La 0.630 0.630 0.935
La 0.869 0.869 0.348
La 0.878 0.878 0.761
Ru 0.104 0.104 0.938
Ru 0.896 0.896 0.062
Pb 0.402 0.402 0.572
Pb 0.598 0.598 0.428

Computed properties:
DFT formation energy in meV per atom: -381
Crystal system: monoclinic
E above lowest polymorph in eV/atom: 0.064
Magnetic moment in Bohr magnetons per cell: 0.00
Total DFT energy (no corrections) in eV per atom: -5.935

[4]
Density functional theory data (PBE-GGA) for crystalline La5RuPb at its relaxed geometry.

a b c (Å): 5.064 5.064 8.410
angles (deg): 90.00 90.00 90.00
Fractional positions:
La 0.000 0.000 0.000
La 0.000 0.500 0.299
La 0.000 0.500 0.701
La 0.500 0.000 0.299
La 0.500 0.000 0.701
Ru 0.000 0.000 0.500
Pb 0.500 0.500 0.000

Computed properties:
DFT formation energy in meV per atom: -290
Crystal system: tetragonal
Magnetic moment in Bohr magnetons per cell: 0.00
Total DFT energy (no corrections) in eV per atom: -5.665

[5]
Density functional theory data (PBE-GGA) for crystalline La2ScRuPb at its relaxed geometry.

a b c (Å): 5.442 5.442 5.109
angles (deg): 90.00 90.00 90.00
Fractional positions:
La 0.000 0.500 0.000
La 0.500 0.000 0.000
Sc 0.000 0.000 0.500
Ru 0.000 0.000 0.000
Pb 0.500 0.500 0.500

Computed properties:
DFT formation energy in meV per atom: -346
Crystal system: tetragonal
Magnetic moment in Bohr magnetons per cell: 0.00
Total DFT energy (no corrections) in eV per atom: -6.180

[6]
Density functional theory data (PBE-GGA) for crystalline La2SiRuPb at its relaxed geometry.

a b c (Å): 5.714 5.714 4.467
angles (deg): 90.00 90.00 90.00
Fractional positions:
La 0.000 0.500 0.000
La 0.500 0.000 0.000
Si 0.000 0.000 0.000
Ru 0.000 0.000 0.500
Pb 0.500 0.500 0.500

Computed properties:
Crystal system: tetragonal
ΔE_f (raw) in meV per atom: -183
Magnetic moment in Bohr magnetons per cell: 0.00
Total DFT energy (no corrections) in eV per atom: -5.835

[7]
Density functional theory data (PBE-GGA) for crystalline SrLa2RuPb at its relaxed geometry.

a b c (Å): 5.477 5.477 5.610
angles (deg): 90.00 90.00 90.00
Fractional positions:
Sr 0.000 0.000 0.000
La 0.000 0.500 0.500
La 0.500 0.000 0.500
Ru 0.500 0.500 0.500
Pb 0.500 0.500 0.000

Computed properties:
DFT formation energy in meV per atom: -235
Crystal system: tetragonal
E above lowest polymorph in eV/atom: 0.050
Magnetic moment in Bohr magnetons per cell: 0.00
Total DFT energy (no corrections) in eV per atom: -5.139

[8]
Density functional theory data (PBE-GGA) for crystalline SrLa2RuPb at its relaxed geometry.

a b c (Å): 5.378 5.378 5.809
angles (deg): 90.00 90.00 90.00
Fractional positions:
Sr 0.000 0.000 0.000
La 0.000 0.500 0.500
La 0.500 0.000 0.500
Ru 0.000 0.000 0.500
Pb 0.500 0.500 0.000

Computed properties:
DFT formation energy in meV per atom: -285
Crystal system: tetragonal
E above lowest polymorph in eV/atom: 0.000
Magnetic moment in Bohr magnetons per cell: 0.00
Total DFT energy (no corrections) in eV per atom: -5.190

Repeat the sixth record exactly.
Density functional theory data (PBE-GGA) for crystalline La2SiRuPb at its relaxed geometry.

a b c (Å): 5.714 5.714 4.467
angles (deg): 90.00 90.00 90.00
Fractional positions:
La 0.000 0.500 0.000
La 0.500 0.000 0.000
Si 0.000 0.000 0.000
Ru 0.000 0.000 0.500
Pb 0.500 0.500 0.500

Computed properties:
Crystal system: tetragonal
ΔE_f (raw) in meV per atom: -183
Magnetic moment in Bohr magnetons per cell: 0.00
Total DFT energy (no corrections) in eV per atom: -5.835